No. 1
{
  "formula": "Li2NdMgTl4",
  "functional": "PBE-GGA",
  "state": "optimized geometry",
  "volume_a3_per_atom": 24.76,
  "ef_ev_per_atom": -0.233,
  "magmom_total_mub_per_fu": 0.00,
  "lattice": [[-0.558, 4.639, 1.967], [-4.509, 1.467, 1.794], [0.485, -1.110, 9.289]],
  "species": ["Tl", "Tl", "Tl", "Li", "Nd", "Tl", "Mg", "Li"],
  "frac_coords": [[0.127, 0.127, 0.620], [0.385, 0.385, 0.846], [0.873, 0.873, 0.380], [0.753, 0.753, 0.741], [0.000, 0.000, 0.000], [0.615, 0.615, 0.154], [0.500, 0.500, 0.500], [0.247, 0.247, 0.259]]
}


No. 2
{
  "formula": "Li2NdMg2Tl2",
  "functional": "PBE-GGA",
  "state": "optimized geometry",
  "volume_a3_per_atom": 23.76,
  "ef_ev_per_atom": -0.240,
  "magmom_total_mub_per_fu": 0.00,
  "lattice": [[-4.180, -2.362, 0.418], [-1.464, -1.562, 4.318], [-5.804, 5.858, 2.841]],
  "species": ["Li", "Tl", "Mg", "Nd", "Li", "Mg", "Tl"],
  "frac_coords": [[0.428, 0.428, 0.715], [0.740, 0.740, 0.781], [0.863, 0.863, 0.410], [0.000, 0.000, 0.000], [0.572, 0.572, 0.285], [0.137, 0.137, 0.590], [0.260, 0.260, 0.219]]
}


No. 3
{
  "formula": "LiNdMgTl2",
  "functional": "PBE-GGA",
  "state": "optimized geometry",
  "volume_a3_per_atom": 25.25,
  "ef_ev_per_atom": -0.179,
  "magmom_total_mub_per_fu": 0.00,
  "lattice": [[6.660, 0.000, 0.000], [0.000, 5.610, 0.000], [0.000, 0.000, 6.758]],
  "species": ["Tl", "Li", "Tl", "Tl", "Nd", "Tl", "Li", "Mg", "Nd", "Mg"],
  "frac_coords": [[0.271, 0.750, 0.259], [0.000, 0.000, 0.000], [0.729, 0.250, 0.259], [0.729, 0.250, 0.741], [0.775, 0.750, 0.500], [0.271, 0.750, 0.741], [0.000, 0.500, 0.000], [0.632, 0.750, 0.000], [0.225, 0.250, 0.500], [0.368, 0.250, 0.000]]
}


No. 4
{
  "formula": "LiNd2MgTl4",
  "functional": "PBE-GGA",
  "state": "optimized geometry",
  "volume_a3_per_atom": 26.66,
  "ef_ev_per_atom": -0.295,
  "magmom_total_mub_per_fu": 0.00,
  "lattice": [[5.336, 0.000, 0.000], [2.668, 4.621, 0.000], [2.668, 1.540, 8.650]],
  "species": ["Tl", "Nd", "Tl", "Mg", "Nd", "Tl", "Li", "Tl"],
  "frac_coords": [[0.873, 0.873, 0.381], [0.748, 0.748, 0.756], [0.622, 0.622, 0.134], [0.000, 0.000, 0.000], [0.252, 0.252, 0.244], [0.127, 0.127, 0.619], [0.500, 0.500, 0.500], [0.378, 0.378, 0.866]]
}


No. 5
{
  "formula": "Li2Nd2TmMg5",
  "functional": "PBE-GGA",
  "state": "optimized geometry",
  "volume_a3_per_atom": 25.40,
  "ef_ev_per_atom": -0.044,
  "magmom_total_mub_per_fu": 0.00,
  "lattice": [[-4.467, -0.639, 0.011], [1.490, -10.436, -1.210], [0.197, -1.195, 10.542]],
  "species": ["Nd", "Nd", "Tm", "Li", "Mg", "Li", "Mg", "Mg", "Mg", "Tm", "Nd", "Li", "Nd", "Mg", "Mg", "Mg", "Mg", "Mg", "Mg", "Li"],
  "frac_coords": [[0.000, 0.819, 0.681], [0.000, 0.319, 0.819], [0.000, 0.000, 0.000], [0.000, 0.386, 0.114], [0.500, 0.000, 0.500], [0.000, 0.886, 0.386], [0.500, 0.288, 0.561], [0.500, 0.439, 0.288], [0.500, 0.500, 0.000], [0.000, 0.500, 0.500], [0.000, 0.181, 0.319], [0.000, 0.614, 0.886], [0.000, 0.681, 0.181], [0.500, 0.561, 0.712], [0.500, 0.212, 0.061], [0.500, 0.061, 0.788], [0.500, 0.712, 0.439], [0.500, 0.939, 0.212], [0.500, 0.788, 0.939], [0.000, 0.114, 0.614]]
}


No. 6
{
  "formula": "LiNdYMg",
  "functional": "PBE-GGA",
  "state": "optimized geometry",
  "volume_a3_per_atom": 27.88,
  "ef_ev_per_atom": 0.015,
  "magmom_total_mub_per_fu": 0.00,
  "lattice": [[5.403, 0.000, 0.000], [2.701, 4.679, 0.000], [2.701, 1.560, 4.411]],
  "species": ["Y", "Li", "Mg", "Nd"],
  "frac_coords": [[0.750, 0.750, 0.750], [0.500, 0.500, 0.500], [0.000, 0.000, 0.000], [0.250, 0.250, 0.250]]
}


No. 7
{
  "formula": "Li2Nd2YMg5",
  "functional": "PBE-GGA",
  "state": "optimized geometry",
  "volume_a3_per_atom": 25.64,
  "ef_ev_per_atom": -0.053,
  "magmom_total_mub_per_fu": 0.00,
  "lattice": [[-0.330, -0.579, -4.418], [1.485, -10.533, 1.269], [-10.580, -1.375, 0.970]],
  "species": ["Mg", "Mg", "Mg", "Li", "Mg", "Nd", "Li", "Mg", "Nd", "Li", "Y", "Y", "Nd", "Nd", "Mg", "Li", "Mg", "Mg", "Mg", "Mg"],
  "frac_coords": [[0.500, 0.786, 0.938], [0.500, 0.000, 0.500], [0.500, 0.214, 0.062], [0.000, 0.615, 0.885], [0.500, 0.438, 0.286], [0.000, 0.680, 0.180], [0.000, 0.385, 0.115], [0.500, 0.938, 0.214], [0.000, 0.320, 0.820], [0.000, 0.885, 0.385], [0.000, 0.500, 0.500], [0.000, 0.000, 0.000], [0.000, 0.180, 0.320], [0.000, 0.820, 0.680], [0.500, 0.562, 0.714], [0.000, 0.115, 0.615], [0.500, 0.500, 0.000], [0.500, 0.714, 0.438], [0.500, 0.286, 0.562], [0.500, 0.062, 0.786]]
}


No. 8
{
  "formula": "LiNdMgZn",
  "functional": "PBE-GGA",
  "state": "optimized geometry",
  "volume_a3_per_atom": 21.74,
  "ef_ev_per_atom": -0.217,
  "magmom_total_mub_per_fu": 0.00,
  "lattice": [[-2.109, 2.137, -3.964], [1.622, -1.094, -4.572], [-2.837, -2.699, -3.065]],
  "species": ["Li", "Nd", "Zn", "Mg"],
  "frac_coords": [[0.500, 0.500, 0.500], [0.750, 0.750, 0.750], [0.000, 0.000, 0.000], [0.250, 0.250, 0.250]]
}


No. 9
{
  "formula": "LiNdMgZn2",
  "functional": "PBE-GGA",
  "state": "optimized geometry",
  "volume_a3_per_atom": 21.54,
  "ef_ev_per_atom": -0.196,
  "magmom_total_mub_per_fu": 0.00,
  "lattice": [[-0.440, -2.069, 3.561], [-2.043, -3.000, -1.995], [6.663, -0.450, -1.847]],
  "species": ["Li", "Nd", "Mg", "Zn", "Zn"],
  "frac_coords": [[0.250, 0.750, 0.500], [0.000, 0.000, 0.000], [0.750, 0.250, 0.500], [0.603, 0.603, 0.207], [0.397, 0.397, 0.793]]
}


No. 10
{
  "formula": "LiMg3Ni",
  "functional": "PBE-GGA",
  "state": "optimized geometry",
  "volume_a3_per_atom": 22.83,
  "ef_ev_per_atom": 0.052,
  "magmom_total_mub_per_fu": 0.00,
  "de_polymorph_ev_per_atom": 0.113,
  "lattice": [[-1.424, 1.752, 4.293], [-4.605, -1.062, -1.095], [0.544, -4.397, 1.975]],
  "species": ["Mg", "Mg", "Mg", "Li", "Ni"],
  "frac_coords": [[0.500, 0.000, 0.000], [0.000, 0.500, 0.000], [0.000, 0.000, 0.500], [0.500, 0.500, 0.500], [0.000, 0.000, 0.000]]
}


No. 11
{
  "formula": "LiMgNi2",
  "functional": "PBE-GGA",
  "state": "optimized geometry",
  "volume_a3_per_atom": 13.11,
  "ef_ev_per_atom": 0.066,
  "magmom_total_mub_per_fu": 0.00,
  "lattice": [[8.491, -0.004, -0.002], [8.065, 2.655, -0.002], [8.065, 1.292, 2.320]],
  "species": ["Ni", "Li", "Ni", "Mg"],
  "frac_coords": [[0.000, 0.000, 0.000], [0.750, 0.750, 0.750], [0.500, 0.500, 0.500], [0.250, 0.250, 0.250]]
}


No. 12
{
  "formula": "Li2MgNi2",
  "functional": "PBE-GGA",
  "state": "optimized geometry",
  "volume_a3_per_atom": 13.10,
  "ef_ev_per_atom": 0.071,
  "magmom_total_mub_per_fu": 0.00,
  "de_polymorph_ev_per_atom": 0.000,
  "lattice": [[6.924, 0.000, 0.000], [0.000, 6.924, 0.000], [0.000, 0.000, 2.732]],
  "species": ["Li", "Ni", "Li", "Li", "Ni", "Mg", "Ni", "Li", "Ni", "Mg"],
  "frac_coords": [[0.119, 0.381, 0.000], [0.819, 0.319, 0.500], [0.881, 0.619, 0.000], [0.381, 0.881, 0.000], [0.181, 0.681, 0.500], [0.500, 0.500, 0.000], [0.319, 0.181, 0.500], [0.619, 0.119, 0.000], [0.681, 0.819, 0.500], [0.000, 0.000, 0.000]]
}


What did the sixth record say?
{
  "formula": "LiNdYMg",
  "functional": "PBE-GGA",
  "state": "optimized geometry",
  "volume_a3_per_atom": 27.88,
  "ef_ev_per_atom": 0.015,
  "magmom_total_mub_per_fu": 0.00,
  "lattice": [[5.403, 0.000, 0.000], [2.701, 4.679, 0.000], [2.701, 1.560, 4.411]],
  "species": ["Y", "Li", "Mg", "Nd"],
  "frac_coords": [[0.750, 0.750, 0.750], [0.500, 0.500, 0.500], [0.000, 0.000, 0.000], [0.250, 0.250, 0.250]]
}